Run A
First-principles (GGA-PBE) data for an optimized crystal structure of Si2AgBi2, as listed in the Alexandria database.

Values from the calculation:
Magnetic moment ... 0.000 μB per formula unit
V ... 244 Å³ per cell

abc: 6.463 6.463 5.842
angles: 90.00 90.00 90.00
Sites, in units of the cell vectors:
1 Si 0.131 0.369 0.000
2 Si 0.369 0.869 0.000
3 Si 0.631 0.131 0.000
4 Si 0.869 0.631 0.000
5 Ag 0.000 0.000 0.000
6 Ag 0.500 0.500 0.000
7 Bi 0.186 0.314 0.500
8 Bi 0.314 0.814 0.500
9 Bi 0.686 0.186 0.500
10 Bi 0.814 0.686 0.500

***

Run B
First-principles (GGA-PBE) data for an optimized crystal structure of Si2AgBi2, as listed in the Alexandria database.

Values from the calculation:
Magnetic moment ... 0.000 μB per formula unit
V ... 116 Å³ per cell

abc: 9.746 9.746 9.746
angles: 159.28 159.28 29.47
Sites, in units of the cell vectors:
1 Si 0.250 0.750 0.500
2 Si 0.750 0.250 0.500
3 Ag 0.000 0.000 0.000
4 Bi 0.396 0.396 0.000
5 Bi 0.604 0.604 0.000

***

Stability summary: most stable run B, least stable run A.

***

Run A
First-principles (GGA-PBE) data for an optimized crystal structure of SiAg2Bi, as listed in the Alexandria database.

Values from the calculation:
Magnetic moment ... 0.000 μB per formula unit
V ... 187 Å³ per cell

abc: 9.254 9.254 9.254
angles: 150.92 150.92 41.59
Sites, in units of the cell vectors:
1 Si 0.000 0.000 0.000
2 Si 0.750 0.250 0.500
3 Ag 0.041 0.625 0.916
4 Ag 0.375 0.291 0.416
5 Ag 0.709 0.125 0.084
6 Ag 0.875 0.959 0.584
7 Bi 0.250 0.750 0.500
8 Bi 0.500 0.500 0.000

***

Run B
First-principles (GGA-PBE) data for an optimized crystal structure of SiAg2Bi, as listed in the Alexandria database.

Values from the calculation:
Magnetic moment ... 0.000 μB per formula unit
V ... 86 Å³ per cell

abc: 4.945 4.945 4.945
angles: 60.00 60.00 60.00
Sites, in units of the cell vectors:
1 Si 0.000 0.000 0.000
2 Ag 0.250 0.250 0.250
3 Ag 0.750 0.750 0.750
4 Bi 0.500 0.500 0.500

***

Stability summary: most stable run A, least stable run B.

***

Run A
First-principles (GGA-PBE) data for an optimized crystal structure of SiAgBi3, as listed in the Alexandria database.

Values from the calculation:
Magnetic moment ... 0.000 μB per formula unit
V ... 165 Å³ per cell

abc: 5.485 5.485 5.485
angles: 90.00 90.00 90.00
Sites, in units of the cell vectors:
1 Si 0.000 0.000 0.000
2 Ag 0.500 0.500 0.500
3 Bi 0.000 0.500 0.500
4 Bi 0.500 0.000 0.500
5 Bi 0.500 0.500 0.000

***

Run B
First-principles (GGA-PBE) data for an optimized crystal structure of SiAgBi3, as listed in the Alexandria database.

Values from the calculation:
Magnetic moment ... 0.000 μB per formula unit
V ... 160 Å³ per cell

abc: 5.432 5.432 5.432
angles: 90.00 90.00 90.00
Sites, in units of the cell vectors:
1 Si 0.000 0.000 0.000
2 Ag 0.500 0.500 0.500
3 Bi 0.000 0.000 0.500
4 Bi 0.000 0.500 0.000
5 Bi 0.500 0.000 0.000

***

Stability summary: most stable run B, least stable run A.

***

Run A
First-principles (GGA-PBE) data for an optimized crystal structure of Ag2SnBi2, as listed in the Alexandria database.

Values from the calculation:
Magnetic moment ... 0.000 μB per formula unit
V ... 140 Å³ per cell

abc: 7.412 7.412 7.412
angles: 144.01 144.01 51.81
Sites, in units of the cell vectors:
1 Ag 0.100 0.100 0.000
2 Ag 0.900 0.900 0.000
3 Sn 0.500 0.500 0.000
4 Bi 0.250 0.750 0.500
5 Bi 0.750 0.250 0.500

***

Run B
First-principles (GGA-PBE) data for an optimized crystal structure of Ag2SnBi2, as listed in the Alexandria database.

Values from the calculation:
Magnetic moment ... 0.000 μB per formula unit
V ... 134 Å³ per cell

abc: 8.887 8.887 8.887
angles: 154.11 154.11 36.95
Sites, in units of the cell vectors:
1 Ag 0.250 0.750 0.500
2 Ag 0.750 0.250 0.500
3 Sn 0.000 0.000 0.000
4 Bi 0.390 0.390 0.000
5 Bi 0.610 0.610 0.000

***

Stability summary: most stable run B, least stable run A.

***

Run A
First-principles (GGA-PBE) data for an optimized crystal structure of Ag3SnBi, as listed in the Alexandria database.

Values from the calculation:
Magnetic moment ... 0.000 μB per formula unit
V ... 461 Å³ per cell

abc: 7.162 7.689 9.426
angles: 90.00 117.40 90.00
Sites, in units of the cell vectors:
1 Ag 0.063 0.143 0.125
2 Ag 0.063 0.357 0.625
3 Ag 0.262 0.597 0.898
4 Ag 0.262 0.903 0.398
5 Ag 0.372 0.608 0.632
6 Ag 0.372 0.892 0.132
7 Ag 0.628 0.108 0.868
8 Ag 0.628 0.392 0.368
9 Ag 0.738 0.097 0.602
10 Ag 0.738 0.403 0.102
11 Ag 0.937 0.643 0.375
12 Ag 0.937 0.857 0.875
13 Sn 0.334 0.233 0.988
14 Sn 0.334 0.267 0.488
15 Sn 0.666 0.733 0.512
16 Sn 0.666 0.767 0.012
17 Bi 0.192 0.563 0.201
18 Bi 0.192 0.937 0.701
19 Bi 0.808 0.063 0.299
20 Bi 0.808 0.437 0.799

***

Run B
First-principles (GGA-PBE) data for an optimized crystal structure of Ag3SnBi, as listed in the Alexandria database.

Values from the calculation:
Magnetic moment ... 0.000 μB per formula unit
V ... 141 Å³ per cell

abc: 5.208 5.208 5.208
angles: 90.00 90.00 90.00
Sites, in units of the cell vectors:
1 Ag 0.000 0.000 0.500
2 Ag 0.000 0.500 0.000
3 Ag 0.500 0.000 0.000
4 Sn 0.000 0.000 0.000
5 Bi 0.500 0.500 0.500

***

Stability summary: most stable run A, least stable run B.

***

Run A
First-principles (GGA-PBE) data for an optimized crystal structure of Sr2AgBi2, as listed in the Alexandria database.

Values from the calculation:
Magnetic moment ... 0.000 μB per formula unit
V ... 199 Å³ per cell

abc: 6.518 6.518 6.518
angles: 118.92 118.92 91.89
Sites, in units of the cell vectors:
1 Sr 0.250 0.750 0.500
2 Sr 0.750 0.250 0.500
3 Ag 0.000 0.000 0.000
4 Bi 0.319 0.319 0.000
5 Bi 0.681 0.681 0.000

***

Run B
First-principles (GGA-PBE) data for an optimized crystal structure of Sr2AgBi2, as listed in the Alexandria database.

Values from the calculation:
Magnetic moment ... 0.000 μB per formula unit
V ... 355 Å³ per cell

abc: 9.770 9.770 3.719
angles: 90.00 90.00 90.00
Sites, in units of the cell vectors:
1 Sr 0.137 0.363 0.000
2 Sr 0.363 0.863 0.000
3 Sr 0.637 0.137 0.000
4 Sr 0.863 0.637 0.000
5 Ag 0.000 0.000 0.000
6 Ag 0.500 0.500 0.000
7 Bi 0.166 0.666 0.500
8 Bi 0.334 0.166 0.500
9 Bi 0.666 0.834 0.500
10 Bi 0.834 0.334 0.500

***

Run C
First-principles (GGA-PBE) data for an optimized crystal structure of Sr2AgBi2, as listed in the Alexandria database.

Values from the calculation:
Magnetic moment ... 0.172 μB per formula unit
V ... 337 Å³ per cell

abc: 8.249 8.249 4.953
angles: 90.00 90.00 90.00
Sites, in units of the cell vectors:
1 Sr 0.168 0.332 0.000
2 Sr 0.332 0.832 0.000
3 Sr 0.668 0.168 0.000
4 Sr 0.832 0.668 0.000
5 Ag 0.000 0.000 0.500
6 Ag 0.500 0.500 0.500
7 Bi 0.140 0.640 0.500
8 Bi 0.360 0.140 0.500
9 Bi 0.640 0.860 0.500
10 Bi 0.860 0.360 0.500

***

Run D
First-principles (GGA-PBE) data for an optimized crystal structure of Sr2AgBi2, as listed in the Alexandria database.

Values from the calculation:
Magnetic moment ... 0.000 μB per formula unit
V ... 333 Å³ per cell

abc: 6.746 6.746 11.914
angles: 113.14 113.14 42.65
Sites, in units of the cell vectors:
1 Sr 0.018 0.018 0.346
2 Sr 0.175 0.175 0.106
3 Sr 0.825 0.825 0.894
4 Sr 0.982 0.982 0.654
5 Ag 0.300 0.300 0.662
6 Ag 0.700 0.700 0.338
7 Bi 0.337 0.337 0.415
8 Bi 0.461 0.461 0.119
9 Bi 0.539 0.539 0.881
10 Bi 0.663 0.663 0.585

***

Stability summary: most stable run D, least stable run B.

***

Run A
First-principles (GGA-PBE) data for an optimized crystal structure of Sr3AgBi, as listed in the Alexandria database.

Values from the calculation:
Magnetic moment ... 0.000 μB per formula unit
V ... 407 Å³ per cell

abc: 9.623 9.623 4.755
angles: 90.00 90.00 112.35
Sites, in units of the cell vectors:
1 Sr 0.148 0.852 0.000
2 Sr 0.194 0.433 0.499
3 Sr 0.433 0.194 0.501
4 Sr 0.567 0.806 0.501
5 Sr 0.806 0.567 0.499
6 Sr 0.852 0.148 0.000
7 Ag 0.000 0.500 0.999
8 Ag 0.500 0.000 0.001
9 Bi 0.000 0.000 0.500
10 Bi 0.500 0.500 0.000

***

Run B
First-principles (GGA-PBE) data for an optimized crystal structure of Sr3AgBi, as listed in the Alexandria database.

Values from the calculation:
Magnetic moment ... 0.000 μB per formula unit
V ... 213 Å³ per cell

abc: 5.970 5.970 5.970
angles: 90.00 90.00 90.00
Sites, in units of the cell vectors:
1 Sr 0.000 0.000 0.500
2 Sr 0.000 0.500 0.000
3 Sr 0.500 0.000 0.000
4 Ag 0.000 0.000 0.000
5 Bi 0.500 0.500 0.500

***

Stability summary: most stable run A, least stable run B.

***

Run A
First-principles (GGA-PBE) data for an optimized crystal structure of Tb4AgBi, as listed in the Alexandria database.

Values from the calculation:
Magnetic moment ... 0.000 μB per formula unit
V ... 707 Å³ per cell

abc: 9.999 9.999 9.999
angles: 60.00 60.00 60.00
Sites, in units of the cell vectors:
1 Tb 0.185 0.185 0.815
2 Tb 0.185 0.815 0.185
3 Tb 0.185 0.815 0.815
4 Tb 0.364 0.364 0.364
5 Tb 0.364 0.364 0.907
6 Tb 0.364 0.907 0.364
7 Tb 0.563 0.563 0.937
8 Tb 0.563 0.937 0.563
9 Tb 0.563 0.937 0.937
10 Tb 0.815 0.185 0.185
11 Tb 0.815 0.185 0.815
12 Tb 0.815 0.815 0.185
13 Tb 0.907 0.364 0.364
14 Tb 0.937 0.563 0.563
15 Tb 0.937 0.563 0.937
16 Tb 0.937 0.937 0.563
17 Ag 0.151 0.151 0.151
18 Ag 0.151 0.151 0.548
19 Ag 0.151 0.548 0.151
20 Ag 0.548 0.151 0.151
21 Bi 0.215 0.595 0.595
22 Bi 0.595 0.215 0.595
23 Bi 0.595 0.595 0.215
24 Bi 0.595 0.595 0.595

***

Run B
First-principles (GGA-PBE) data for an optimized crystal structure of Tb4AgBi, as listed in the Alexandria database.

Values from the calculation:
Magnetic moment ... 0.001 μB per formula unit
V ... 374 Å³ per cell

abc: 10.733 10.733 6.438
angles: 90.00 90.00 149.67
Sites, in units of the cell vectors:
1 Tb 0.057 0.943 0.750
2 Tb 0.207 0.793 0.502
3 Tb 0.207 0.793 0.998
4 Tb 0.379 0.621 0.750
5 Tb 0.621 0.379 0.250
6 Tb 0.793 0.207 0.002
7 Tb 0.793 0.207 0.498
8 Tb 0.943 0.057 0.250
9 Ag 0.081 0.919 0.250
10 Ag 0.919 0.081 0.750
11 Bi 0.352 0.648 0.250
12 Bi 0.648 0.352 0.750

***

Stability summary: most stable run A, least stable run B.

***

Run A
First-principles (GGA-PBE) data for an optimized crystal structure of TcAgBi2, as listed in the Alexandria database.

Values from the calculation:
Magnetic moment ... 0.000 μB per formula unit
V ... 257 Å³ per cell

abc: 7.514 7.514 7.514
angles: 127.87 127.87 76.83
Sites, in units of the cell vectors:
1 Tc 0.000 0.000 0.000
2 Tc 0.750 0.250 0.500
3 Ag 0.250 0.750 0.500
4 Ag 0.500 0.500 0.000
5 Bi 0.095 0.625 0.970
6 Bi 0.375 0.345 0.470
7 Bi 0.655 0.125 0.030
8 Bi 0.875 0.905 0.530

***

Run B
First-principles (GGA-PBE) data for an optimized crystal structure of TcAgBi2, as listed in the Alexandria database.

Values from the calculation:
Magnetic moment ... 1.594 μB per formula unit
V ... 90 Å³ per cell

abc: 5.032 5.032 5.032
angles: 60.00 60.00 60.00
Sites, in units of the cell vectors:
1 Tc 0.000 0.000 0.000
2 Ag 0.500 0.500 0.500
3 Bi 0.250 0.250 0.250
4 Bi 0.750 0.750 0.750

***

Stability summary: most stable run B, least stable run A.

***

Run A
First-principles (GGA-PBE) data for an optimized crystal structure of Tc2Ag2Bi, as listed in the Alexandria database.

Values from the calculation:
Magnetic moment ... 0.000 μB per formula unit
V ... 104 Å³ per cell

abc: 9.027 9.027 9.027
angles: 157.86 157.86 31.51
Sites, in units of the cell vectors:
1 Tc 0.250 0.750 0.500
2 Tc 0.750 0.250 0.500
3 Ag 0.116 0.116 0.000
4 Ag 0.884 0.884 0.000
5 Bi 0.500 0.500 0.000

***

Run B
First-principles (GGA-PBE) data for an optimized crystal structure of Tc2Ag2Bi, as listed in the Alexandria database.

Values from the calculation:
Magnetic moment ... 0.000 μB per formula unit
V ... 202 Å³ per cell

abc: 8.287 8.287 2.943
angles: 90.00 90.00 90.00
Sites, in units of the cell vectors:
1 Tc 0.094 0.406 0.000
2 Tc 0.406 0.906 0.000
3 Tc 0.594 0.094 0.000
4 Tc 0.906 0.594 0.000
5 Ag 0.192 0.692 0.500
6 Ag 0.308 0.192 0.500
7 Ag 0.692 0.808 0.500
8 Ag 0.808 0.308 0.500
9 Bi 0.000 0.000 0.500
10 Bi 0.500 0.500 0.500

***

Stability summary: most stable run A, least stable run B.